No. 1
Computed, not measured: crystalline Mg2Cd2Ag2Pb at its relaxed geometry at the PBE-GGA level of DFT.

The space group is C2/m (No. 12) and the conventional cell measures 9.995, 4.062 and 7.529 Å, with angles of 90.00, 92.60 and 90.00 degrees. The asymmetric unit holds Mg at (0.069, 0.000, 0.187), Cd at (0.217, 0.000, 0.678), Ag at (0.142, 0.500, 0.943) and Pb at (0.000, 0.500, 0.500).


No. 2
Computed, not measured: crystalline Mg4CdAgPd2 at its relaxed geometry at the PBE-GGA level of DFT.

The space group is R-3m (No. 166, hexagonal axes) and the conventional cell measures 4.6579, 4.6579 and 22.6602 Å, with angles of 90.00, 90.00 and 120.00 degrees. The asymmetric unit holds Mg at (0.0000, 0.0000, 0.1219), Mg at (0.0000, 0.0000, 0.3720), Cd at (0.0000, 0.0000, 0.5000), Ag at (0.0000, 0.0000, 0.0000) and Pd at (0.0000, 0.0000, 0.2482).


No. 3
Computed, not measured: crystalline MgCdAg2Pd at its relaxed geometry at the PBE-GGA level of DFT.

The space group is P4/mmm (No. 123) and the conventional cell measures 4.801, 4.801 and 5.079 Å, with angles of 90.00, 90.00 and 90.00 degrees. The asymmetric unit holds Mg at (0.000, 0.000, 0.000), Cd at (0.000, 0.000, 0.500), Ag at (0.000, 0.500, 0.000) and Pd at (0.500, 0.500, 0.500).


No. 4
Computed, not measured: crystalline Mg5Cd2AgPd2 at its relaxed geometry at the PBE-GGA level of DFT.

The space group is P4/mbm (No. 127) and the conventional cell measures 10.605, 10.605 and 3.554 Å, with angles of 90.00, 90.00 and 90.00 degrees. The asymmetric unit holds Mg at (0.000, 0.500, 0.000), Mg at (0.075, 0.197, 0.000), Cd at (0.168, 0.668, 0.500), Ag at (0.000, 0.000, 0.500) and Pd at (0.130, 0.370, 0.500).


No. 5
Computed, not measured: crystalline Mg3Cd3AgPd2 at its relaxed geometry at the PBE-GGA level of DFT.

The space group is P-62m (No. 189) and the conventional cell measures 8.0282, 8.0282 and 3.0411 Å, with angles of 90.00, 90.00 and 120.00 degrees. The asymmetric unit holds Mg at (0.0000, 0.3804, 0.0000), Cd at (0.0000, 0.6973, 0.5000), Ag at (0.0000, 0.0000, 0.0000) and Pd at (0.3333, 0.6667, 0.5000).


No. 6
Computed, not measured: crystalline Pm2MgCd12Ag3 at its relaxed geometry at the PBE-GGA level of DFT.

The space group is R-3m (No. 166, hexagonal axes) and the conventional cell measures 10.1974, 10.1974 and 14.2739 Å, with angles of 90.00, 90.00 and 120.00 degrees. The asymmetric unit holds Pm at (0.0000, 0.0000, 0.2356), Mg at (0.0000, 0.0000, 0.5000), Cd at (0.0077, 0.5038, 0.2009), Cd at (0.0436, 0.5218, 0.6003) and Ag at (0.0000, 0.5000, 0.0000).


no.,mass density (g cm⁻³),density of states at the Fermi level (states/eV/atom),E_form (eV per atom)
1,7.57,0.32,-0.069
2,6.21,0.34,-0.449
3,6.51,0.41,0.722
4,5.54,0.39,-0.312
5,7.15,0.38,-0.333
6,7.70,0.63,-0.016